No. 1
This record from Alexandria describes a geometry-optimized ZrAl2HAu structure. The functional is PBE.

Unit cell a=4.2694 b=4.2694 c=3.9794 alpha=90.00 beta=90.00 gamma=90.00
With the nearest neighbours (Å) after each atom.
Fractional positions:
1 Zr 0.0000 0.0000 0.0000  2 H 1.99
2 Al 0.0000 0.5000 0.5000  2 H 2.13
3 Al 0.5000 0.0000 0.5000  2 H 2.13
4 H 0.0000 0.0000 0.5000  2 Zr 1.99, 4 Al 2.13
5 Au 0.5000 0.5000 0.0000  8 Al 2.92, 4 Zr 3.02

Results
Electronic total energy (eV/atom): -4.872
Total moment (Bohr magnetons per cell): 0.0
Density of states at the Fermi level (states/eV per cell): 2.0

---

No. 2
This record from Alexandria describes a geometry-optimized Ac5IrPd2Rh structure. The functional is PBE.

Unit cell a=9.3215 b=9.3215 c=14.8361 alpha=90.00 beta=90.00 gamma=152.85
With the nearest neighbours (Å) after each atom.
Fractional positions:
1 Ac 0.0024 0.9976 0.5000  1 Ir 2.80
2 Ac 0.1107 0.8893 0.2299  1 Rh 2.88, 1 Ir 2.92, 2 Pd 3.22
3 Ac 0.2069 0.7931 0.6459  1 Ir 2.97, 2 Rh 3.00, 1 Pd 3.28
4 Ac 0.2401 0.7599 0.9192  2 Rh 3.02, 3 Pd 3.18-3.32
5 Ac 0.4273 0.5727 0.3016  2 Ir 2.87, 1 Rh 2.97, 1 Pd 3.15
6 Ac 0.5727 0.4273 0.8016  2 Ir 2.87, 1 Rh 2.97, 1 Pd 3.15
7 Ac 0.7599 0.2401 0.4192  2 Rh 3.02, 3 Pd 3.18-3.32
8 Ac 0.7931 0.2069 0.1459  1 Ir 2.97, 2 Rh 3.00, 1 Pd 3.28
9 Ac 0.8893 0.1107 0.7299  1 Rh 2.88, 1 Ir 2.92, 2 Pd 3.22
10 Ac 0.9976 0.0024 0.0000  1 Ir 2.80
11 Ir 0.0455 0.9545 0.6812  5 Ac 2.80-2.97
12 Ir 0.9545 0.0455 0.1812  5 Ac 2.80-2.97
13 Pd 0.3622 0.6378 0.5324  6 Ac 3.28-3.62
14 Pd 0.4134 0.5866 0.8861  6 Ac 3.15-3.22
15 Pd 0.5866 0.4134 0.3861  6 Ac 3.15-3.22
16 Pd 0.6378 0.3622 0.0324  6 Ac 3.28-3.62
17 Rh 0.2642 0.7358 0.2794  6 Ac 2.88-3.02
18 Rh 0.7358 0.2642 0.7794  6 Ac 2.88-3.02

Results
Electronic total energy (eV/atom): -5.788
Total moment (Bohr magnetons per cell): 0.0
Density of states at the Fermi level (states/eV per cell): 11.3
Energy relative to the elements (kcal/mol of atoms): -12.7

---

No. 3
This record from Alexandria describes a geometry-optimized PuTi2Mo structure. The functional is PBE.

Unit cell a=6.5687 b=6.5687 c=6.5687 alpha=90.00 beta=90.00 gamma=90.00
With the nearest neighbours (Å) after each atom.
Fractional positions:
1 Pu 0.0000 0.0000 0.0000  8 Ti 2.84
2 Pu 0.0000 0.5000 0.5000  8 Ti 2.84
3 Pu 0.5000 0.0000 0.5000  8 Ti 2.84
4 Pu 0.5000 0.5000 0.0000  8 Ti 2.84
5 Ti 0.2500 0.2500 0.2500  4 Mo 2.84, 4 Pu 2.84
6 Ti 0.2500 0.2500 0.7500  4 Mo 2.84, 4 Pu 2.84
7 Ti 0.2500 0.7500 0.2500  4 Mo 2.84, 4 Pu 2.84
8 Ti 0.2500 0.7500 0.7500  4 Mo 2.84, 4 Pu 2.84
9 Ti 0.7500 0.2500 0.2500  4 Mo 2.84, 4 Pu 2.84
10 Ti 0.7500 0.2500 0.7500  4 Mo 2.84, 4 Pu 2.84
11 Ti 0.7500 0.7500 0.2500  4 Mo 2.84, 4 Pu 2.84
12 Ti 0.7500 0.7500 0.7500  4 Mo 2.84, 4 Pu 2.84
13 Mo 0.0000 0.0000 0.5000  8 Ti 2.84
14 Mo 0.0000 0.5000 0.0000  8 Ti 2.84
15 Mo 0.5000 0.0000 0.0000  8 Ti 2.84
16 Mo 0.5000 0.5000 0.5000  8 Ti 2.84

Results
Electronic total energy (eV/atom): -10.094
Relative energy among the computed polymorphs (eV/atom): 0.098
Total moment (Bohr magnetons per cell): 20.7
Density of states at the Fermi level (states/eV per cell): 35.9
Energy relative to the elements (kcal/mol of atoms): 3.3

---

No. 4
This record from Alexandria describes a geometry-optimized La2CdSi structure. The functional is PBE.

Unit cell a=3.7450 b=5.1924 c=6.3930 alpha=90.00 beta=90.00 gamma=90.00
With the nearest neighbours (Å) after each atom.
Fractional positions:
1 La 0.0000 0.0000 0.0000  2 Cd 3.20, 4 Si 3.20
2 La 0.5000 0.5000 0.5000  2 Si 3.20, 4 Cd 3.20
3 Cd 0.0000 0.0000 0.5000  6 La 3.20
4 Si 0.5000 0.5000 0.0000  6 La 3.20

Results
Raw formation energy (kcal/mol of atoms): -4.07
Electronic total energy (eV/atom): -4.225
Total moment (Bohr magnetons per cell): 0.0
Density of states at the Fermi level (states/eV per cell): 6.1

---

No. 5
This record from Alexandria describes a geometry-optimized HoErCd17 structure. The functional is PBE.

Unit cell a=7.6588 b=7.6588 c=7.6588 alpha=81.76 beta=81.76 gamma=81.76
With the nearest neighbours (Å) after each atom.
Fractional positions:
1 Ho 0.0000 0.0000 0.0000  13 Cd 3.44-3.56
2 Er 0.3520 0.3520 0.3520  13 Cd 3.31-3.47
3 Cd 0.0576 0.0576 0.4407  6 Cd 2.85-3.19
4 Cd 0.0576 0.4407 0.0576  6 Cd 2.85-3.19
5 Cd 0.1420 0.7001 0.7001  9 Cd 2.85-3.19
6 Cd 0.3337 0.3337 0.7884  7 Cd 2.85-3.01
7 Cd 0.3337 0.7884 0.3337  7 Cd 2.85-3.01
8 Cd 0.3664 0.6713 0.9820  8 Cd 2.91-3.24
9 Cd 0.3664 0.9820 0.6713  8 Cd 2.91-3.24
10 Cd 0.4407 0.0576 0.0576  6 Cd 2.85-3.19
11 Cd 0.5725 0.5725 0.5725  4 Cd 2.87-2.94
12 Cd 0.6713 0.3664 0.9820  8 Cd 2.91-3.24
13 Cd 0.6713 0.9820 0.3664  8 Cd 2.91-3.24
14 Cd 0.7001 0.1420 0.7001  9 Cd 2.85-3.19
15 Cd 0.7001 0.7001 0.1420  9 Cd 2.85-3.19
16 Cd 0.7635 0.7635 0.7635  4 Cd 2.85-2.87
17 Cd 0.7884 0.3337 0.3337  7 Cd 2.85-3.01
18 Cd 0.9820 0.3664 0.6713  8 Cd 2.91-3.24
19 Cd 0.9820 0.6713 0.3664  8 Cd 2.91-3.24

Results
Electronic total energy (eV/atom): -1.388
Total moment (Bohr magnetons per cell): 0.0
Density of states at the Fermi level (states/eV per cell): 5.7
Energy relative to the elements (kcal/mol of atoms): -2.0

---

No. 6
This record from Alexandria describes a geometry-optimized Ti2Ga4Au structure. The functional is PBE.

Unit cell a=14.4440 b=3.0597 c=6.1004 alpha=90.00 beta=114.61 gamma=90.00
With the nearest neighbours (Å) after each atom.
Fractional positions:
1 Ti 0.2299 0.0000 0.2889  6 Ga 2.70-2.82, 2 Ti 2.84
2 Ti 0.2701 0.5000 0.7111  6 Ga 2.70-2.82, 2 Ti 2.84
3 Ti 0.7299 0.5000 0.2889  6 Ga 2.70-2.82, 2 Ti 2.84
4 Ti 0.7701 0.0000 0.7111  6 Ga 2.70-2.82, 2 Ti 2.84
5 Ga 0.0914 0.0000 0.4800  1 Au 2.66, 3 Ti 2.70-2.82, 3 Ga 2.75
6 Ga 0.1245 0.5000 0.8807  2 Au 2.68, 3 Ti 2.70-2.78, 2 Ga 2.75
7 Ga 0.3755 0.0000 0.1193  2 Au 2.68, 3 Ti 2.70-2.78, 2 Ga 2.75
8 Ga 0.4086 0.5000 0.5200  1 Au 2.66, 3 Ti 2.70-2.82, 3 Ga 2.75
9 Ga 0.5914 0.5000 0.4800  1 Au 2.66, 3 Ti 2.70-2.82, 3 Ga 2.75
10 Ga 0.6245 0.0000 0.8807  2 Au 2.68, 3 Ti 2.70-2.78, 2 Ga 2.75
11 Ga 0.8755 0.5000 0.1193  2 Au 2.68, 3 Ti 2.70-2.78, 2 Ga 2.75
12 Ga 0.9086 0.0000 0.5200  1 Au 2.66, 3 Ti 2.70-2.82, 3 Ga 2.75
13 Au 0.0000 0.0000 0.0000  6 Ga 2.66-2.68
14 Au 0.5000 0.5000 0.0000  6 Ga 2.66-2.68

Results
Electronic total energy (eV/atom): -4.653
Relative energy among the computed polymorphs (eV/atom): 0.046
Total moment (Bohr magnetons per cell): 0.0
Density of states at the Fermi level (states/eV per cell): 8.6
Energy relative to the elements (kcal/mol of atoms): -4.6

---

No. 7
This record from Alexandria describes a geometry-optimized Th2VCo6 structure. The functional is PBE.

Unit cell a=5.3278 b=5.3278 c=5.5491 alpha=90.00 beta=90.00 gamma=120.00
With the nearest neighbours (Å) after each atom.
Fractional positions:
1 Th 0.3333 0.6667 0.1943  6 Co 2.75
2 Th 0.6667 0.3333 0.8057  6 Co 2.75
3 V 0.0000 0.0000 0.0000  6 Co 2.37
4 Co 0.1704 0.3408 0.6800  1 V 2.37, 4 Co 2.54-2.60
5 Co 0.1704 0.8296 0.6800  1 V 2.37, 4 Co 2.54-2.60
6 Co 0.3408 0.1704 0.3200  1 V 2.37, 4 Co 2.54-2.60
7 Co 0.6592 0.8296 0.6800  1 V 2.37, 4 Co 2.54-2.60
8 Co 0.8296 0.1704 0.3200  1 V 2.37, 4 Co 2.54-2.60
9 Co 0.8296 0.6592 0.3200  1 V 2.37, 4 Co 2.54-2.60

Results
Electronic total energy (eV/atom): -7.512
Total moment (Bohr magnetons per cell): 2.1
Density of states at the Fermi level (states/eV per cell): 11.7
Energy relative to the elements (kcal/mol of atoms): -2.6

---

No. 8
This record from Alexandria describes a geometry-optimized BaVMoN2 structure. The functional is PBE.

Unit cell a=4.4428 b=4.4428 c=5.4415 alpha=90.00 beta=90.00 gamma=90.00
With the nearest neighbours (Å) after each atom.
Fractional positions:
1 Ba 0.0000 0.0000 0.0000  4 N 2.22
2 V 0.0000 0.0000 0.5000  2 Ba 2.72
3 Mo 0.5000 0.5000 0.5000  4 V 3.14, 8 N 3.51
4 N 0.0000 0.5000 0.0000  2 Ba 2.22
5 N 0.5000 0.0000 0.0000  2 Ba 2.22

Results
Raw formation energy (kcal/mol of atoms): 69.51
Electronic total energy (eV/atom): -4.690
Total moment (Bohr magnetons per cell): 2.9
Density of states at the Fermi level (states/eV per cell): 6.7